[1]
Computed, not measured: a relaxed LaDySeS crystal at the PBE level of DFT.

Cell: 4.0833 4.0833 20.4598 Å, 90.00 90.00 120.00°
Last column: nearest neighbours and their distance in Å.
Space group R3m (No. 160, hexagonal axes)
Inequivalent atoms, fractional coordinates:
La (0.0000, 0.0000, 0.0000) (multiplicity 3)  3 S 2.91, 3 Se 3.07
Dy (0.0000, 0.0000, 0.4858) (multiplicity 3)  3 S 2.75, 3 Se 2.92
Se (0.0000, 0.0000, 0.2370) (multiplicity 3)  3 Dy 2.92, 3 La 3.07
S (0.0000, 0.0000, 0.7501) (multiplicity 3)  3 Dy 2.75, 3 La 2.91

---

[2]
Computed, not measured: a relaxed LaDySeS2 crystal at the PBE level of DFT.

Cell: 6.3091 13.8621 6.3047 Å, 90.00 90.00 90.00°
Last column: nearest neighbours and their distance in Å.
Space group Cmcm (No. 63)
Inequivalent atoms, fractional coordinates:
La (0.0000, 0.1225, 0.2500) (multiplicity 4)  4 S 2.80
Dy (0.0000, 0.4019, 0.2500) (multiplicity 4)  4 S 2.62
Se (0.0000, 0.2499, 0.7500) (multiplicity 4)  4 La 3.61-3.62, 4 Dy 3.79
S (0.2479, 0.0000, 0.0000) (multiplicity 8)  2 Dy 2.62, 2 La 2.80

---

[3]
Computed, not measured: a relaxed La3Sm2DyS6 crystal at the PBE level of DFT.

Cell: 7.0168 12.1794 7.0658 Å, 90.00 109.42 90.00°
Last column: nearest neighbours and their distance in Å.
Space group C2/m (No. 12)
Inequivalent atoms, fractional coordinates:
La (0.0000, 0.0000, 0.0000) (multiplicity 2)  6 S 2.92-2.96
La (0.0000, 0.3312, 0.0000) (multiplicity 4)  6 S 2.92-2.95
Sm (0.0000, 0.1667, 0.5000) (multiplicity 4)  6 S 2.83-2.84
Dy (0.0000, 0.5000, 0.5000) (multiplicity 2)  6 S 2.78-2.79
S (0.2420, 0.3362, 0.7353) (multiplicity 8)  1 Dy 2.78, 2 Sm 2.83-2.84, 3 La 2.92-2.95
S (0.2484, 0.5000, 0.2625) (multiplicity 4)  1 Dy 2.79, 2 Sm 2.84, 3 La 2.92-2.96

---

[4]
Computed, not measured: a relaxed LaSm2Dy3S6 crystal at the PBE level of DFT.

Cell: 6.8602 11.9218 6.9375 Å, 90.00 109.32 90.00°
Last column: nearest neighbours and their distance in Å.
Space group C2/m (No. 12)
Inequivalent atoms, fractional coordinates:
La (0.0000, 0.0000, 0.0000) (multiplicity 2)  6 S 2.89-2.90
Sm (0.0000, 0.3328, 0.0000) (multiplicity 4)  6 S 2.85
Dy (0.0000, 0.1655, 0.5000) (multiplicity 4)  6 S 2.75-2.78
Dy (0.0000, 0.5000, 0.5000) (multiplicity 2)  6 S 2.74-2.78
S (0.2427, 0.3309, 0.7362) (multiplicity 8)  3 Dy 2.75-2.78, 2 Sm 2.85, 1 La 2.90
S (0.2489, 0.5000, 0.2621) (multiplicity 4)  3 Dy 2.74-2.78, 2 Sm 2.85, 1 La 2.89

---

[5]
Computed, not measured: a relaxed LaSmDyS3 crystal at the PBE level of DFT.

Cell: 6.9373 3.9415 10.5232 Å, 90.00 102.51 90.00°
Last column: nearest neighbours and their distance in Å.
Space group P2_1/m (No. 11)
Inequivalent atoms, fractional coordinates:
La (0.1515, 0.2500, 0.1953) (multiplicity 2)  7 S 2.94-3.05
Sm (0.3739, 0.2500, 0.8669) (multiplicity 2)  5 S 2.78-2.83
Dy (0.2678, 0.7500, 0.5553) (multiplicity 2)  6 S 2.74-2.83
S (0.0478, 0.2500, 0.6554) (multiplicity 2)  3 Dy 2.76-2.83, 1 Sm 2.81, 2 La 3.03
S (0.2232, 0.7500, 0.0038) (multiplicity 2)  3 Sm 2.78-2.83, 3 La 2.94-2.96
S (0.4491, 0.7500, 0.3480) (multiplicity 2)  3 Dy 2.74-2.81, 1 Sm 2.80, 2 La 3.05

---

[6]
Computed, not measured: a relaxed La2Sm3DyS6 crystal at the PBE level of DFT.

Cell: 17.5908 4.0244 8.1301 Å, 90.00 103.22 90.00°
Last column: nearest neighbours and their distance in Å.
Space group C2/m (No. 12)
Inequivalent atoms, fractional coordinates:
La (0.1661, 0.0000, 0.3337) (multiplicity 4)  6 S 2.90-2.91
Sm (0.0000, 0.5000, 0.5000) (multiplicity 2)  6 S 2.81-2.90
Sm (0.1686, 0.0000, 0.8341) (multiplicity 4)  6 S 2.82-2.88
Dy (0.0000, 0.5000, 0.0000) (multiplicity 2)  6 S 2.79-2.82
S (0.0034, 0.0000, 0.7591) (multiplicity 4)  2 Dy 2.82, 3 Sm 2.83-2.90, 1 La 2.91
S (0.1631, 0.5000, 0.0749) (multiplicity 4)  1 Dy 2.79, 3 Sm 2.82-2.88, 2 La 2.90
S (0.1643, 0.5000, 0.5896) (multiplicity 4)  3 Sm 2.81-2.82, 3 La 2.90

---

[7]
Computed, not measured: a relaxed LaSm3Dy2S6 crystal at the PBE level of DFT.

Cell: 6.9230 12.0244 6.9208 Å, 90.00 109.59 90.00°
Last column: nearest neighbours and their distance in Å.
Space group C2/m (No. 12)
Inequivalent atoms, fractional coordinates:
La (0.0000, 0.0000, 0.0000) (multiplicity 2)  6 S 2.87-2.88
Sm (0.0000, 0.1625, 0.5000) (multiplicity 4)  6 S 2.81-2.87
Sm (0.0000, 0.5000, 0.5000) (multiplicity 2)  6 S 2.79-2.87
Dy (0.0000, 0.3331, 0.0000) (multiplicity 4)  6 S 2.77-2.79
S (0.2364, 0.5000, 0.2434) (multiplicity 4)  2 Dy 2.77, 3 Sm 2.79-2.85, 1 La 2.87
S (0.2450, 0.3277, 0.7520) (multiplicity 8)  2 Dy 2.79, 3 Sm 2.81-2.87, 1 La 2.88

---

[8]
Computed, not measured: a relaxed La3Sm3DyS8 crystal at the PBE level of DFT.

Cell: 8.0813 8.0813 20.1535 Å, 90.00 90.00 120.00°
Last column: nearest neighbours and their distance in Å.
Space group R-3m (No. 166, hexagonal axes)
Inequivalent atoms, fractional coordinates:
La (0.0000, 0.5000, 0.0000) (multiplicity 9)  6 S 2.91-2.92
Sm (0.0000, 0.5000, 0.5000) (multiplicity 9)  6 S 2.84
Dy (0.0000, 0.0000, 0.5000) (multiplicity 3)  6 S 2.78
S (0.0000, 0.0000, 0.2467) (multiplicity 6)  3 Sm 2.84, 3 La 2.91
S (0.0064, 0.5032, 0.2451) (multiplicity 18)  1 Dy 2.78, 2 Sm 2.84, 2 La 2.92

---

no.,raw total energy (eV per atom),ΔE_f (raw) (meV per atom)
1,-6.276,-1991
2,-5.940,-1686
3,-6.563,-2098
4,-6.448,-2036
5,-6.423,-1985
6,-6.510,-2062
7,-6.457,-2036
8,-6.548,-2111